Ce2Pu4Sn3 | PBE | optimized geometry

Cell: 6.178 6.178 9.485 Å, 118.73 118.73 49.25°
Sites, in units of the cell vectors:
Ce 0.134 0.134 0.297
Ce 0.866 0.866 0.703
Pu 0.192 0.192 0.028
Pu 0.478 0.478 0.644
Pu 0.522 0.522 0.356
Pu 0.808 0.808 0.972
Sn 0.166 0.166 0.665
Sn 0.500 0.500 0.000
Sn 0.834 0.834 0.335

Summary:
Crystal system ... monoclinic
D(E_F) ... 23.1 states/eV per cell
E_form ... -277 meV/atom
SG ... C2/m
Total moment ... 27.1 μB per cell
Total energy ... -9.2997 eV per atom